Entry 1:
Below is crystalline MgSc4MnS8 at its relaxed geometry, with properties calculated at the PBE level.

Results
crystal system	trigonal
raw formation energy	-1599	meV/atom
SG	R3m
magnetic moment	5.0	Bohr magnetons per cell

Cell and atoms, written as extended XYZ:
```
14
Lattice="3.792 2.189 6.129 -3.792 2.189 6.129 0.000 -4.378 6.129" Properties=species:S:1:pos:R:3 pbc="T T T"
Mg 0.000 0.000 0.000
Sc -1.932 -1.115 8.351
Sc 0.000 0.000 4.454
Sc 1.932 -1.115 8.351
Sc 0.000 2.230 8.351
Mn 0.000 0.000 11.506
S 0.000 0.000 6.948
S 0.000 -2.029 9.871
S -1.757 1.014 9.871
S -1.775 -1.025 13.026
S 1.757 1.014 9.871
S 1.775 -1.025 13.025
S 0.000 2.049 13.025
S 0.000 0.000 15.910
```

Entry 2:
Below is crystalline MgScMnS4 at its relaxed geometry, with properties calculated at the PBE level.

Results
crystal system	orthorhombic
raw formation energy	-1248	meV/atom
SG	Imma
magnetic moment	8.0	Bohr magnetons per cell

Cell and atoms, written as extended XYZ:
```
14
Lattice="-3.757 3.772 5.100 3.757 -3.772 5.100 3.757 3.772 -5.100" Properties=species:S:1:pos:R:3 pbc="T T T"
Mg 0.000 1.886 1.266
Mg 3.757 1.886 3.834
Sc 3.757 0.000 0.000
Sc 0.000 0.000 5.100
Mn 1.878 1.886 -2.550
Mn 1.878 -1.886 2.550
S 3.757 3.560 -2.554
S 3.757 -0.213 2.554
S 1.999 1.886 -0.143
S 5.514 1.886 -0.143
S -1.758 1.886 5.243
S 1.758 1.886 5.243
S 0.000 3.985 2.546
S 0.000 0.213 7.654
```

Entry 3:
Below is crystalline Mg2ScMnS4 at its relaxed geometry, with properties calculated at the PBE level.

Results
crystal system	monoclinic
raw formation energy	-1282	meV/atom
SG	P2/m
magnetic moment	4.2	Bohr magnetons per cell

Cell and atoms, written as extended XYZ:
```
8
Lattice="6.323 0.000 0.000 0.000 3.661 0.000 -2.112 0.000 6.109" Properties=species:S:1:pos:R:3 pbc="T T T"
Mg 0.000 0.000 0.000
Mg 3.161 1.830 0.000
Sc -1.056 1.830 3.055
Mn 2.105 0.000 3.055
S 1.069 1.830 1.518
S 0.010 0.000 4.599
S 4.201 0.000 1.510
S 3.142 1.830 4.591
```